1.
Below is a geometry-optimized TiCoSiRh structure, with properties calculated at the PBE level.

Properties
space group: I-4m2
energy relative to the lowest polymorph listed for this composition: 0.0 meV/atom
mass density: 7.65 g/cm3
density of states at the Fermi level: 1.80 states/eV/cell

abc: 3.8753 3.8754 4.3951
angles: 116.17 116.16 90.00
Element x y z (fractional)
Ti 0.2500 0.7500 0.5000
Co 0.0000 0.0000 0.0000
Rh 0.5000 0.5000 0.0000
Si 0.7500 0.2500 0.5000

2.
Below is a geometry-optimized TiCoSiRh structure, with properties calculated at the PBE level.

Properties
space group: F-43m
energy relative to the lowest polymorph listed for this composition: 31.1 meV/atom
mass density: 7.56 g/cm3
density of states at the Fermi level: 1.81 states/eV/cell

abc: 4.1956 4.1956 4.1956
angles: 60.00 60.00 60.00
Last column: magnetic moment on the atom in μB.
Element x y z (fractional)
Rh 0.0000 0.0000 0.0000  0.35
Si 0.7500 0.7500 0.7500  0.04
Ti 0.2500 0.2500 0.2500  0.13
Co 0.5000 0.5000 0.5000  1.29

3.
Below is a geometry-optimized TmCoSi3Rh structure, with properties calculated at the PBE level.

Properties
space group: Cmcm
mass density: 6.52 g/cm3
density of states at the Fermi level: 6.33 states/eV/cell
final energy: -6.344 eV/atom

abc: 5.4681 6.0352 7.0832
angles: 115.22 90.00 90.00
Element x y z (fractional)
Si 0.5000 0.2876 0.0000
Si 0.2500 0.2080 0.4159
Si 0.0000 0.2876 0.0000
Si 0.5000 0.7124 0.0000
Si 0.7500 0.7920 0.5841
Si 0.0000 0.7124 0.0000
Tm 0.2500 0.8104 0.6208
Tm 0.7500 0.1896 0.3792
Co 0.2500 0.0421 0.0842
Co 0.7500 0.9579 0.9158
Rh 0.7500 0.6182 0.2364
Rh 0.2500 0.3818 0.7636